# 1
VASP calculation (GGA-PBE) on a relaxed structure of Ho3GaAg.

Computed properties:
The theoretical density is 8.84 g cm⁻³. The value obtained for the energy of formation from the pure elements is -0.274 eV per atom.

a b c (Å): 9.7942 9.7942 6.2449
angles (deg): 95.59 95.59 58.04
Sites, in units of the cell vectors:
Ho 0.0485 0.2551 0.6082
Ho 0.1911 0.6968 0.9739
Ho 0.2551 0.0485 0.1082
Ho 0.2875 0.3815 0.5075
Ho 0.3032 0.8089 0.5261
Ho 0.3815 0.2875 0.0075
Ho 0.6185 0.7125 0.9925
Ho 0.6968 0.1911 0.4739
Ho 0.7125 0.6185 0.4925
Ho 0.7449 0.9515 0.8918
Ho 0.8089 0.3032 0.0261
Ho 0.9515 0.7449 0.3918
Ga 0.0300 0.4205 0.1748
Ga 0.4205 0.0300 0.6748
Ga 0.5795 0.9700 0.3252
Ga 0.9700 0.5795 0.8252
Ag 0.0005 0.9995 0.2500
Ag 0.4946 0.5054 0.2500
Ag 0.5054 0.4946 0.7500
Ag 0.9995 0.0005 0.7500


# 2
VASP calculation (GGA-PBE) on a relaxed structure of Ho2GaAg.

Computed properties:
The theoretical density is 9.11 g cm⁻³. The value obtained for the energy of formation from the pure elements is -0.460 eV per atom.

a b c (Å): 3.5366 3.5366 7.3974
angles (deg): 90.00 90.00 90.00
Sites, in units of the cell vectors:
Ho 0.0000 0.0000 0.2460
Ho 0.0000 0.0000 0.7540
Ga 0.5000 0.5000 0.0000
Ag 0.5000 0.5000 0.5000


# 3
VASP calculation (GGA-PBE) on a relaxed structure of Ho5Ga4Ag.

Computed properties:
The theoretical density is 8.85 g cm⁻³. The value obtained for the energy of formation from the pure elements is -0.528 eV per atom.

a b c (Å): 3.5478 3.5478 18.0674
angles (deg): 90.00 90.00 90.00
Sites, in units of the cell vectors:
Ho 0.0000 0.0000 0.0000
Ho 0.0000 0.0000 0.1975
Ho 0.0000 0.0000 0.3954
Ho 0.0000 0.0000 0.6046
Ho 0.0000 0.0000 0.8025
Ga 0.5000 0.5000 0.0982
Ga 0.5000 0.5000 0.2978
Ga 0.5000 0.5000 0.7022
Ga 0.5000 0.5000 0.9018
Ag 0.5000 0.5000 0.5000


# 4
VASP calculation (GGA-PBE) on a relaxed structure of HoGaAg2.

Computed properties:
The theoretical density is 9.07 g cm⁻³. The energy above the lowest structure with this stoichiometry comes out at 0.42 eV/f.u. The value obtained for the energy of formation from the pure elements is -0.224 eV per atom.

a b c (Å): 4.3543 4.3543 4.3503
angles (deg): 90.00 90.00 90.00
Sites, in units of the cell vectors:
Ho 0.0000 0.0000 0.0000
Ga 0.5000 0.5000 0.0000
Ag 0.0000 0.5000 0.5000
Ag 0.5000 0.0000 0.5000


# 5
VASP calculation (GGA-PBE) on a relaxed structure of Ho3Ga2Ag.

Computed properties:
The theoretical density is 8.97 g cm⁻³. The energy above the lowest structure with this stoichiometry comes out at 0.02 eV/f.u. The value obtained for the energy of formation from the pure elements is -0.491 eV per atom.

a b c (Å): 3.5188 3.5188 11.0935
angles (deg): 90.00 90.00 90.00
Sites, in units of the cell vectors:
Ho 0.0000 0.0000 0.0000
Ho 0.0000 0.0000 0.3278
Ho 0.0000 0.0000 0.6722
Ga 0.5000 0.5000 0.1678
Ga 0.5000 0.5000 0.8322
Ag 0.5000 0.5000 0.5000


# 6
VASP calculation (GGA-PBE) on a relaxed structure of HoGa3Ag3.

Computed properties:
The theoretical density is 7.94 g cm⁻³. The energy above the lowest structure with this stoichiometry comes out at 0.89 eV/f.u. The value obtained for the energy of formation from the pure elements is -0.106 eV per atom.

a b c (Å): 7.0046 7.0046 7.0046
angles (deg): 69.61 69.61 69.61
Sites, in units of the cell vectors:
Ho 0.1709 0.1709 0.1709
Ho 0.8291 0.8291 0.8291
Ga 0.0277 0.7484 0.3757
Ga 0.2516 0.6243 0.9723
Ga 0.3757 0.0277 0.7484
Ga 0.6243 0.9723 0.2516
Ga 0.7484 0.3757 0.0277
Ga 0.9723 0.2516 0.6243
Ag 0.1661 0.4446 0.7153
Ag 0.2847 0.8339 0.5554
Ag 0.4446 0.7153 0.1661
Ag 0.5554 0.2847 0.8339
Ag 0.7153 0.1661 0.4446
Ag 0.8339 0.5554 0.2847


# 7
VASP calculation (GGA-PBE) on a relaxed structure of HoGaAg2.

Computed properties:
The theoretical density is 8.94 g cm⁻³. The energy above the lowest structure with this stoichiometry comes out at 0.58 eV/f.u. The value obtained for the energy of formation from the pure elements is -0.186 eV per atom.

a b c (Å): 3.6658 3.6658 6.2270
angles (deg): 90.00 90.00 90.00
Sites, in units of the cell vectors:
Ho 0.0000 0.0000 0.0000
Ga 0.0000 0.0000 0.5000
Ag 0.5000 0.5000 0.2603
Ag 0.5000 0.5000 0.7397


# 8
VASP calculation (GGA-PBE) on a relaxed structure of HoGaAg.

Computed properties:
The theoretical density is 8.03 g cm⁻³. The value obtained for the energy of formation from the pure elements is -0.260 eV per atom.

a b c (Å): 4.6433 4.6433 4.6433
angles (deg): 60.00 60.00 60.00
Sites, in units of the cell vectors:
Ho 0.0000 0.0000 0.0000
Ga 0.5000 0.5000 0.5000
Ag 0.7500 0.7500 0.7500


Number 1: total magnetic moment 0.0 μB/f.u.. Number 2: total magnetic moment 0.0 μB/f.u.. Number 3: total magnetic moment 0.0 μB/f.u.. Number 4: total magnetic moment 0.0 μB/f.u.. Number 5: total magnetic moment 0.0 μB/f.u.. Number 6: total magnetic moment 0.0 μB/f.u.. Number 7: total magnetic moment 0.0 μB/f.u.. Number 8: total magnetic moment 0.0 μB/f.u..